! Li2CaZn3 PBE optimized geometry; values from VASP
! Calculated volume, A^3/atom: 19.529
! Energy relative to the elements, eV per atom: -0.15
! M_tot, μB/f.u.: 0.000
! E, eV per atom: -1.759
&SYSTEM
  ibrav = 0, nat = 12, ntyp = 3
/
ATOMIC_SPECIES
Li 6.94 Li.upf
Ca 40.08 Ca.upf
Zn 65.41 Zn.upf
CELL_PARAMETERS angstrom
-3.0414 3.9430 1.2258
-2.0499 0.4260 -6.4561
-4.7666 -4.3381 2.1273
ATOMIC_POSITIONS crystal
Li 0.5000 0.2257 0.7743
Li 0.5000 0.7743 0.2257
Li 0.0000 0.7743 0.2257
Li 0.0000 0.2257 0.7743
Ca 0.7500 0.6963 0.6963
Ca 0.2500 0.3037 0.3037
Zn 0.7500 0.0646 0.4522
Zn 0.7500 0.4522 0.0646
Zn 0.2500 0.9356 0.9356
Zn 0.2500 0.9354 0.5478
Zn 0.7500 0.0644 0.0644
Zn 0.2500 0.5478 0.9354